# 1
DFT (GGA+U) results for a relaxed structure of CaVTcO6.

Computed properties:
E_tot, eV/atom: -7.453

Lattice parameters (Å, degrees): 5.1487 5.1487 10.0378 90.00 90.00 120.00
Space group P-31c (No. 163)
One atom of each set of equivalent atoms:
Ca (0.0000, 0.0000, 0.0000) (multiplicity 2)
V (0.3333, 0.6667, 0.2500) (multiplicity 2)
Tc (0.3333, 0.6667, 0.7500) (multiplicity 2)
O (0.0059, 0.3772, 0.1446) (multiplicity 12)

=====

# 2
DFT (GGA+U) results for a relaxed structure of Ca2VTcO6.

Computed properties:
E_tot, eV/atom: -7.444

Lattice parameters (Å, degrees): 5.3916 5.5431 9.4380 90.00 124.61 90.00
Space group P2_1/c (No. 14)
One atom of each set of equivalent atoms:
Ca (0.2398, 0.0495, 0.2496) (multiplicity 4)
V (0.0000, 0.0000, 0.5000) (multiplicity 2)
Tc (0.5000, 0.0000, 0.0000) (multiplicity 2)
O (0.1551, 0.2074, 0.9542) (multiplicity 4)
O (0.2465, 0.6988, 0.9587) (multiplicity 4)
O (0.3320, 0.0245, 0.7476) (multiplicity 4)

=====

# 3
DFT (GGA+U) results for a relaxed structure of CaV2TcO8.

Computed properties:
E_tot, eV/atom: -7.325

Lattice parameters (Å, degrees): 6.9854 6.9854 6.1652 90.00 90.00 90.00
Space group I-4m2 (No. 119)
One atom of each set of equivalent atoms:
Ca (0.0000, 0.0000, 0.0000) (multiplicity 2)
V (0.0000, 0.0000, 0.5000) (multiplicity 2)
V (0.0000, 0.5000, 0.2500) (multiplicity 2)
Tc (0.0000, 0.5000, 0.7500) (multiplicity 2)
O (0.0000, 0.2023, 0.6672) (multiplicity 8)
O (0.0000, 0.3264, 0.0441) (multiplicity 8)

=====

# 4
DFT (GGA+U) results for a relaxed structure of CaTcWO6.

Computed properties:
E_tot, eV/atom: -7.493

Lattice parameters (Å, degrees): 4.8814 4.8814 9.5555 90.00 90.00 90.00
Space group P4_2nm (No. 102)
One atom of each set of equivalent atoms:
Ca (0.0000, 0.0000, 0.0000) (multiplicity 2)
Tc (0.0000, 0.0000, 0.3291) (multiplicity 2)
W (0.0000, 0.0000, 0.6670) (multiplicity 2)
O (0.1732, 0.1732, 0.5011) (multiplicity 4)
O (0.2079, 0.2079, 0.8043) (multiplicity 4)
O (0.2164, 0.2164, 0.1833) (multiplicity 4)

=====

- What is the E_tot in the third record?
  -7.325 eV/atom